Entry 1:
# Mg2Cr (GGA-PBE, relaxed)
# E: -3.867 eV per atom
data_Mg2Cr
_symmetry_space_group_name_H-M 'C 1 m 1'
_symmetry_Int_Tables_number 8
_symmetry_space_group_name_Hall 'C -2y'
_cell_length_a 11.205
_cell_length_b 3.084
_cell_length_c 7.214
_cell_angle_alpha 90.00
_cell_angle_beta 103.82
_cell_angle_gamma 90.00
loop_
_atom_site_label
_atom_site_type_symbol
_atom_site_fract_x
_atom_site_fract_y
_atom_site_fract_z
_atom_site_occupancy
Mg1 Mg 0.000 0.000 0.000 1
Mg2 Mg 0.059 0.000 0.601 1
Mg3 Mg 0.177 0.500 0.312 1
Mg4 Mg 0.334 0.000 0.663 1
Cr1 Cr 0.222 0.500 0.930 1
Cr2 Cr 0.396 0.000 0.276 1

Entry 2:
# Mg4Cr3 (GGA-PBE, relaxed)
# excess energy over the best structure of this formula in the dataset: 0.126 eV/atom
# E: -4.600 eV per atom
data_Mg4Cr3
_symmetry_space_group_name_H-M 'P 6/m m m'
_symmetry_Int_Tables_number 191
_symmetry_space_group_name_Hall '-P 6 2'
_cell_length_a 4.9624
_cell_length_b 4.9624
_cell_length_c 5.3854
_cell_angle_alpha 90.00
_cell_angle_beta 90.00
_cell_angle_gamma 120.00
loop_
_atom_site_label
_atom_site_type_symbol
_atom_site_fract_x
_atom_site_fract_y
_atom_site_fract_z
_atom_site_occupancy
Mg1 Mg 0.0000 0.0000 0.2450 1
Mg2 Mg 0.3333 0.6667 0.5000 1
Cr1 Cr 0.0000 0.5000 0.0000 1

Entry 3:
# Mg2Cr (GGA-PBE, relaxed)
# E: -3.736 eV per atom
data_Mg2Cr
_symmetry_space_group_name_H-M 'I m m a'
_symmetry_Int_Tables_number 74
_symmetry_space_group_name_Hall '-I 2b 2'
_cell_length_a 3.041
_cell_length_b 4.294
_cell_length_c 20.725
_cell_angle_alpha 90.00
_cell_angle_beta 90.00
_cell_angle_gamma 90.00
loop_
_atom_site_label
_atom_site_type_symbol
_atom_site_fract_x
_atom_site_fract_y
_atom_site_fract_z
_atom_site_occupancy
Mg1 Mg 0.000 0.250 0.043 1
Mg2 Mg 0.000 0.250 0.184 1
Cr1 Cr 0.000 0.250 0.603 1

Entry 4:
# Mg3Cr2 (GGA-PBE, relaxed)
# excess energy over the best structure of this formula in the dataset: 0.043 eV/atom
# E: -4.273 eV per atom
data_Mg3Cr2
_symmetry_space_group_name_H-M 'R -3 m'
_symmetry_Int_Tables_number 166
_symmetry_space_group_name_Hall '-R 3 2"'
_cell_length_a 3.0345
_cell_length_b 3.0345
_cell_length_c 36.1947
_cell_angle_alpha 90.00
_cell_angle_beta 90.00
_cell_angle_gamma 120.00
loop_
_atom_site_label
_atom_site_type_symbol
_atom_site_fract_x
_atom_site_fract_y
_atom_site_fract_z
_atom_site_occupancy
Mg1 Mg 0.0000 0.0000 0.0000 1
Mg2 Mg 0.0000 0.0000 0.2042 1
Cr1 Cr 0.0000 0.0000 0.3978 1

Entry 5:
# Mg3Cr (GGA-PBE, relaxed)
# E: -3.293 eV per atom
data_Mg3Cr
_symmetry_space_group_name_H-M 'P n m a'
_symmetry_Int_Tables_number 62
_symmetry_space_group_name_Hall '-P 2ac 2n'
_cell_length_a 8.817
_cell_length_b 4.826
_cell_length_c 8.144
_cell_angle_alpha 90.00
_cell_angle_beta 90.00
_cell_angle_gamma 90.00
loop_
_atom_site_label
_atom_site_type_symbol
_atom_site_fract_x
_atom_site_fract_y
_atom_site_fract_z
_atom_site_occupancy
Mg1 Mg 0.085 0.250 0.126 1
Mg2 Mg 0.090 0.750 0.537 1
Mg3 Mg 0.150 0.250 0.762 1
Cr1 Cr 0.238 0.750 0.934 1

Entry 6:
# Mg3Cr (GGA-PBE, relaxed)
# E: -3.321 eV per atom
data_Mg3Cr
_symmetry_space_group_name_H-M 'P m m 2'
_symmetry_Int_Tables_number 25
_symmetry_space_group_name_Hall 'P 2 -2'
_cell_length_a 3.139
_cell_length_b 4.962
_cell_length_c 5.324
_cell_angle_alpha 90.00
_cell_angle_beta 90.00
_cell_angle_gamma 90.00
loop_
_atom_site_label
_atom_site_type_symbol
_atom_site_fract_x
_atom_site_fract_y
_atom_site_fract_z
_atom_site_occupancy
Mg1 Mg 0.000 0.000 0.000 1
Mg2 Mg 0.000 0.500 0.339 1
Mg3 Mg 0.500 0.000 0.516 1
Cr1 Cr 0.500 0.500 0.843 1

Entry 7:
# MgCr5 (GGA-PBE, relaxed)
# E: -8.004 eV per atom
data_MgCr5
_symmetry_space_group_name_H-M 'F -4 3 m'
_symmetry_Int_Tables_number 216
_symmetry_space_group_name_Hall 'F -4 2 3'
_cell_length_a 6.756
_cell_length_b 6.756
_cell_length_c 6.756
_cell_angle_alpha 90.00
_cell_angle_beta 90.00
_cell_angle_gamma 90.00
loop_
_atom_site_label
_atom_site_type_symbol
_atom_site_fract_x
_atom_site_fract_y
_atom_site_fract_z
_atom_site_occupancy
Mg1 Mg 0.000 0.000 0.000 1
Cr1 Cr 0.125 0.125 0.625 1
Cr2 Cr 0.250 0.250 0.250 1

Entry 8:
# Mg4Cr (GGA-PBE, relaxed)
# E: -2.505 eV per atom
data_Mg4Cr
_symmetry_space_group_name_H-M 'P m -3 m'
_symmetry_Int_Tables_number 221
_symmetry_space_group_name_Hall '-P 4 2 3'
_cell_length_a 5.217
_cell_length_b 5.217
_cell_length_c 5.217
_cell_angle_alpha 90.00
_cell_angle_beta 90.00
_cell_angle_gamma 90.00
loop_
_atom_site_label
_atom_site_type_symbol
_atom_site_fract_x
_atom_site_fract_y
_atom_site_fract_z
_atom_site_occupancy
Mg1 Mg 0.000 0.000 0.000 1
Mg2 Mg 0.000 0.500 0.500 1
Cr1 Cr 0.500 0.500 0.500 1

It is found that the E_form values, taken in the order of the records, are 0.40, 0.44, 0.54, 0.53, 0.31, 0.28, 0.28, 0.70 eV per atom.
It is found that the mass density values, taken in the order of the records, are 2.8, 3.7, 2.5, 3.1, 2.4, 2.5, 6.1, 1.7 g cm⁻³.